(1)
Density functional theory data (GGA-PBE) for crystalline Tb6Ce2Nd3Ho at its relaxed geometry.

abc: 6.205 6.205 11.829
angles: 95.01 95.01 120.00
Fractional coordinates of all 12 atoms:
Tb1 0.082 0.418 0.755
Tb2 0.247 0.247 0.245
Tb3 0.418 0.082 0.755
Tb4 0.582 0.918 0.245
Tb5 0.753 0.753 0.755
Tb6 0.918 0.582 0.245
Ce1 0.166 0.834 0.000
Ce2 0.834 0.166 0.000
Nd1 0.000 0.000 0.500
Nd2 0.334 0.666 0.500
Nd3 0.666 0.334 0.500
Ho1 0.500 0.500 0.000

Properties
**V**: 388.32 Å³ per cell
**Energy of formation from the pure elements**: 0.05 eV per atom
**DOS(E_F)**: 21.171 states/eV/f.u.
**Calculated total energy**: -57.98 eV/f.u.

***

(2)
Density functional theory data (GGA-PBE) for crystalline NaMnCu2 at its relaxed geometry.

abc: 4.432 4.432 4.432
angles: 60.00 60.00 60.00
Fractional coordinates of all 4 atoms:
Na1 0.000 0.000 0.000
Mn1 0.500 0.500 0.500
Cu1 0.250 0.250 0.250
Cu2 0.750 0.750 0.750

Properties
**V**: 61.54 Å³ per cell
**Energy above the most stable polymorph in this dataset**: 0.0 meV/atom
**Energy of formation from the pure elements**: 0.44 eV per atom
**DOS(E_F)**: 2.583 states/eV/f.u.
**Calculated total energy**: -16.92 eV/f.u.

***

(3)
Density functional theory data (GGA-PBE) for crystalline Er5Hg6Pb at its relaxed geometry.

abc: 8.206 8.206 7.485
angles: 90.00 90.00 143.05
Fractional coordinates of all 12 atoms:
Er1 0.000 0.000 0.000
Er2 0.329 0.671 0.000
Er3 0.345 0.655 0.500
Er4 0.655 0.345 0.500
Er5 0.671 0.329 0.000
Hg1 0.173 0.827 0.254
Hg2 0.173 0.827 0.746
Hg3 0.500 0.500 0.228
Hg4 0.500 0.500 0.772
Hg5 0.827 0.173 0.254
Hg6 0.827 0.173 0.746
Pb1 0.000 0.000 0.500

Properties
**V**: 302.94 Å³ per cell
**Energy of formation from the pure elements**: -0.42 eV per atom
**DOS(E_F)**: 8.463 states/eV/f.u.
**Calculated total energy**: -33.31 eV/f.u.

***

(4)
Density functional theory data (GGA-PBE) for crystalline ScPW at its relaxed geometry.

abc: 5.374 5.374 5.374
angles: 145.33 145.33 49.85
Fractional coordinates of all 3 atoms:
Sc1 0.000 0.000 0.000
P1 0.692 0.692 0.000
W1 0.298 0.298 0.000

Properties
**V**: 49.99 Å³ per cell
**Energy above the most stable polymorph in this dataset**: 0.0 meV/atom
**Energy of formation from the pure elements**: -0.45 eV per atom
**DOS(E_F)**: 1.378 states/eV/f.u.
**Calculated total energy**: -26.04 eV/f.u.

***

(5)
Density functional theory data (GGA-PBE) for crystalline Tl4BiAu2 at its relaxed geometry.

abc: 7.446 6.308 8.664
angles: 90.00 106.99 90.00
Fractional coordinates of all 14 atoms:
Tl1 0.027 0.250 0.468
Tl2 0.161 0.750 0.232
Tl3 0.273 0.501 0.909
Tl4 0.273 0.999 0.909
Tl5 0.727 0.001 0.091
Tl6 0.727 0.499 0.091
Tl7 0.839 0.250 0.768
Tl8 0.973 0.750 0.532
Bi1 0.499 0.250 0.353
Bi2 0.501 0.750 0.647
Au1 0.110 0.250 0.157
Au2 0.426 0.250 0.667
Au3 0.574 0.750 0.333
Au4 0.890 0.750 0.843

Properties
**V**: 389.20 Å³ per cell
**Energy of formation from the pure elements**: 0.00 eV per atom
**DOS(E_F)**: 2.858 states/eV/f.u.
**Calculated total energy**: -19.90 eV/f.u.

***

(6)
Density functional theory data (GGA-PBE) for crystalline ScCd at its relaxed geometry.

abc: 4.828 4.828 9.384
angles: 90.00 90.00 120.00
Fractional coordinates of all 8 atoms:
Sc1 0.333 0.667 0.090
Sc2 0.333 0.667 0.410
Sc3 0.667 0.333 0.590
Sc4 0.667 0.333 0.910
Cd1 0.000 0.000 0.250
Cd2 0.000 0.000 0.750
Cd3 0.333 0.667 0.750
Cd4 0.667 0.333 0.250

Properties
**V**: 189.41 Å³ per cell
**Energy of formation from the pure elements**: -0.01 eV per atom
**DOS(E_F)**: 1.892 states/eV/f.u.
**Calculated total energy**: -7.27 eV/f.u.

***

(7)
Density functional theory data (GGA-PBE) for crystalline ZnPdS2N at its relaxed geometry.

abc: 4.791 4.791 3.684
angles: 90.00 90.00 90.00
Fractional coordinates of all 5 atoms:
Zn1 0.000 0.000 0.000
Pd1 0.500 0.500 0.500
S1 0.000 0.500 0.000
S2 0.500 0.000 0.000
N1 0.000 0.000 0.500

Properties
**V**: 84.59 Å³ per cell
**Energy above the most stable polymorph in this dataset**: 251.3 meV/atom
**DOS(E_F)**: 4.054 states/eV/f.u.
**Calculated total energy**: -17.66 eV/f.u.
**Formation energy without anion corrections**: 1.078 eV/atom

***

(8)
Density functional theory data (GGA-PBE) for crystalline Cu2TcAs at its relaxed geometry.

abc: 2.656 2.656 8.154
angles: 90.00 90.00 90.00
Fractional coordinates of all 4 atoms:
Cu1 0.000 0.000 0.238
Cu2 0.000 0.000 0.762
Tc1 0.500 0.500 0.000
As1 0.500 0.500 0.500

Properties
**V**: 57.54 Å³ per cell
**Energy of formation from the pure elements**: 0.28 eV per atom
**DOS(E_F)**: 1.893 states/eV/f.u.
**Calculated total energy**: -22.08 eV/f.u.

***

(9)
Density functional theory data (GGA-PBE) for crystalline Os3PbO9 at its relaxed geometry.

abc: 5.609 7.504 8.106
angles: 90.00 93.51 90.00
Fractional coordinates of all 26 atoms:
Os1 0.000 0.000 0.000
Os2 0.000 0.500 0.000
Os3 0.473 0.003 0.695
Os4 0.473 0.497 0.695
Os5 0.527 0.503 0.305
Os6 0.527 0.997 0.305
Pb1 0.017 0.250 0.425
Pb2 0.983 0.750 0.575
O1 0.041 0.250 0.985
O2 0.169 0.545 0.793
O3 0.169 0.955 0.793
O4 0.282 0.525 0.479
O5 0.282 0.975 0.479
O6 0.291 0.518 0.126
O7 0.291 0.982 0.126
O8 0.430 0.250 0.694
O9 0.467 0.250 0.309
O10 0.533 0.750 0.691
O11 0.570 0.750 0.306
O12 0.709 0.018 0.874
O13 0.709 0.482 0.874
O14 0.718 0.025 0.521
O15 0.718 0.475 0.521
O16 0.831 0.045 0.207
O17 0.831 0.455 0.207
O18 0.959 0.750 0.015

Properties
**V**: 340.59 Å³ per cell
**DOS(E_F)**: 5.884 states/eV/f.u.
**Calculated total energy**: -95.21 eV/f.u.
**Formation energy without anion corrections**: -1.015 eV/atom

***

(10)
Density functional theory data (GGA-PBE) for crystalline MgCo6P4 at its relaxed geometry.

abc: 6.562 6.562 3.364
angles: 90.00 90.00 120.00
Fractional coordinates of all 11 atoms:
Mg1 0.000 0.000 0.000
Co1 0.199 0.398 0.500
Co2 0.199 0.801 0.500
Co3 0.535 0.070 0.000
Co4 0.535 0.465 0.000
Co5 0.602 0.801 0.500
Co6 0.930 0.465 0.000
P1 0.333 0.667 0.000
P2 0.374 0.187 0.500
P3 0.813 0.187 0.500
P4 0.813 0.626 0.500

Properties
**V**: 125.45 Å³ per cell
**Energy above the most stable polymorph in this dataset**: 0.0 meV/atom
**Energy of formation from the pure elements**: -0.63 eV per atom
**DOS(E_F)**: 7.584 states/eV/f.u.
**Calculated total energy**: -72.84 eV/f.u.

***

(11)
Density functional theory data (GGA-PBE) for crystalline Pr5SmEr4 at its relaxed geometry.

abc: 9.559 9.559 10.239
angles: 106.12 106.12 21.90
Fractional coordinates of all 10 atoms:
Pr1 0.000 0.000 0.000
Pr2 0.200 0.200 0.101
Pr3 0.399 0.399 0.695
Pr4 0.601 0.601 0.305
Pr5 0.800 0.800 0.899
Sm1 0.000 0.000 0.500
Er1 0.200 0.200 0.600
Er2 0.399 0.399 0.204
Er3 0.601 0.601 0.796
Er4 0.800 0.800 0.400

Properties
**V**: 334.75 Å³ per cell
**Energy above the most stable polymorph in this dataset**: 0.0 meV/atom
**Energy of formation from the pure elements**: 0.02 eV per atom
**DOS(E_F)**: 12.455 states/eV/f.u.
**Calculated total energy**: -46.69 eV/f.u.

***

(12)
Density functional theory data (GGA-PBE) for crystalline Ag4SO at its relaxed geometry.

abc: 4.662 7.644 6.400
angles: 90.00 90.00 90.00
Fractional coordinates of all 12 atoms:
Ag1 0.250 0.011 0.237
Ag2 0.250 0.250 0.686
Ag3 0.250 0.489 0.237
Ag4 0.250 0.750 0.879
Ag5 0.750 0.250 0.121
Ag6 0.750 0.511 0.763
Ag7 0.750 0.750 0.314
Ag8 0.750 0.989 0.763
S1 0.250 0.750 0.447
S2 0.750 0.250 0.553
O1 0.250 0.250 0.061
O2 0.750 0.750 0.939

Properties
**V**: 228.06 Å³ per cell
**Calculated total energy**: -20.71 eV/f.u.
**Formation energy without anion corrections**: -0.037 eV/atom